A plane-wave DFT calculation with PBE-GGA was carried out for TaAl2 after structural relaxation.

Cell lengths 2.849, 14.852, 4.863 Å; angles 90.00, 90.00, 90.00 degrees
Sites, in units of the cell vectors:
1 Ta 0.000 0.214 0.250
2 Ta 0.000 0.786 0.750
3 Ta 0.500 0.286 0.750
4 Ta 0.500 0.714 0.250
5 Al 0.000 0.112 0.750
6 Al 0.000 0.447 0.750
7 Al 0.000 0.553 0.250
8 Al 0.000 0.888 0.250
9 Al 0.500 0.053 0.250
10 Al 0.500 0.388 0.250
11 Al 0.500 0.612 0.750
12 Al 0.500 0.947 0.750

## Properties
total magnetic moment = 0.0 μB per cell
total DFT energy (no corrections) = -6.4898 eV per atom
formation energy = -0.044 eV per atom
density = 7.6 g/cm3